Entry 1:
Li2CuAu, PBEsol geometry, DFT meta-GGA SCAN; magnetic moment = 0.000 μB per atom; density of states at the Fermi level = 0.92 states/eV/cell; volume = 56.93 Å³/f.u.; uncorrected energy = -22.532 eV per atom
1.0
3.2182 0.0000 0.0000
0.0000 3.2182 0.0000
0.0000 0.0000 5.4968
Au Cu Li
1 1 2
Cartesian
0.0000 0.0000 2.7688
1.6091 1.6091 4.1005
0.0000 0.0000 5.4202
1.6091 1.6091 1.4525



Entry 2:
BaTe2F, PBEsol geometry, DFT meta-GGA SCAN; magnetic moment = 0.000 μB per atom; density of states at the Fermi level = 4.02 states/eV/cell; volume = 105.81 Å³/f.u.; uncorrected energy = -29.893 eV per atom; energy relative to the elements, uncorrected = -495 meV/atom
1.0
3.6112 0.0000 0.0000
1.8056 3.1274 0.0000
1.8056 1.0425 9.3694
Te Ba F
2 1 1
Cartesian
5.4167 3.1274 6.5722
1.8056 1.0425 2.7973
0.0000 0.0000 0.0000
3.6112 2.0849 4.6847



Entry 3:
Er3Sb4Pd8, PBEsol geometry, DFT meta-GGA SCAN; magnetic moment = 0.000 μB per atom; density of states at the Fermi level = 13.18 states/eV/cell; volume = 274.98 Å³/f.u.; uncorrected energy = -38.390 eV per atom; energy relative to the elements, uncorrected = -906 meV/atom
1.0
-6.1133 -0.6043 -6.8437
-4.6317 -7.8293 -1.3503
-8.9911 -0.4078 1.8886
Er Sb Pd
6 8 16
Cartesian
-9.4731 -2.6134 -0.8822
-12.2264 -2.8856 -3.9644
-8.1770 -2.7019 -4.8150
-10.2630 -6.2280 -5.4231
-7.5097 -5.9559 -2.3409
-11.5591 -6.1395 -1.4903
-5.3725 -4.2168 -4.0970
-2.3158 -3.9147 -0.6751
-6.8114 -4.1186 0.2692
-4.4956 -0.2039 0.9443
-7.5522 -0.5061 -2.4775
-3.0566 -0.3022 -3.4218
-9.8680 -4.4207 -3.1527
0.0000 0.0000 0.0000
-14.9607 -3.6822 -4.8476
-12.6728 -7.5771 -6.5475
-17.3915 -7.7911 -5.5563
-14.1831 -7.4740 -1.9646
-4.7753 -5.1593 -1.4577
-7.0633 -1.2644 0.2421
-2.3446 -1.0503 -0.7490
-5.5529 -1.3675 -4.3407
-14.7013 -8.5028 -4.6537
-16.1535 -6.0307 -3.5748
-13.1585 -5.8948 -4.2039
-15.1949 -6.0961 -6.4836
-5.0347 -0.3387 -1.6516
-3.5826 -2.8108 -2.7305
-6.5776 -2.9466 -2.1014
-4.5412 -2.7453 0.1783



Entry 4:
Zr3Tl2OF12, PBEsol geometry, DFT meta-GGA SCAN; magnetic moment = 0.000 μB per atom; density of states at the Fermi level = 0.00 states/eV/cell; volume = 254.20 Å³/f.u.; uncorrected energy = -19.436 eV per atom; energy relative to the elements, uncorrected = -3573 meV/atom
1.0
7.7130 0.0000 0.0000
3.8565 6.6797 0.0000
3.8565 2.2266 9.8680
F O Tl Zr
24 2 4 6
Cartesian
2.5018 4.3333 0.0000
6.3583 2.3464 0.0000
2.7094 0.0000 0.0000
1.3547 2.3464 0.0000
5.2112 4.3333 0.0000
5.0036 0.0000 0.0000
7.7130 6.9881 3.7915
9.9084 3.1856 3.7915
5.5177 3.1856 3.7915
7.7130 1.9182 6.0765
9.9084 5.7206 6.0765
5.5177 5.7206 6.0765
3.8565 4.4835 2.2229
5.8110 1.0981 2.2229
1.9020 1.0981 2.2229
11.5696 4.4228 7.6451
13.5241 7.8081 7.6451
9.6150 7.8081 7.6451
7.7130 5.9482 7.7266
9.0078 3.7056 7.7266
6.4182 3.7056 7.7266
7.7130 2.9580 2.1414
9.0078 5.2007 2.1414
6.4182 5.2007 2.1414
3.8565 2.2266 1.3544
11.5695 6.6797 8.5136
0.0000 0.0000 0.0000
7.7130 4.4531 4.9340
3.8565 2.2266 5.7488
11.5696 6.6797 4.1192
7.7130 2.0193 8.0699
5.6053 5.6700 8.0699
9.8208 5.6700 8.0699
7.7130 6.8869 1.7981
5.6053 3.2362 1.7981
9.8208 3.2362 1.7981



- What is the formula in the second record?
  BaTe2F